(1)
Density functional theory data (SCAN) for a crystal of KSmP3HO10 relaxed with PBEsol.

VASP energy = -385.0 eV per cell

CIF file:
```
data_KSmP3HO10
_chemical_formula_sum 'K2 Sm2 P6 H2 O20'
_symmetry_space_group_name_H-M 'P -1'
_symmetry_Int_Tables_number 2
_symmetry_space_group_name_Hall '-P 1'
_cell_length_a 6.944
_cell_length_b 7.749
_cell_length_c 8.553
_cell_angle_alpha 73.95
_cell_angle_beta 73.54
_cell_angle_gamma 82.58
loop_
_atom_site_label
_atom_site_fract_x
_atom_site_fract_y
_atom_site_fract_z
K1 0.206 0.225 0.039
Sm1 0.225 0.129 0.511
P1 0.146 0.539 0.638
P2 0.328 0.733 0.815
P3 0.330 0.808 0.342
H1 0.319 0.710 0.081
O1 0.044 0.345 0.337
O2 0.133 0.928 0.371
O3 0.136 0.339 0.673
O4 0.193 0.894 0.757
O5 0.255 0.653 0.009
O6 0.281 0.564 0.754
O7 0.281 0.603 0.448
O8 0.418 0.799 0.162
O9 0.449 0.245 0.245
O10 0.467 0.872 0.424
```

(2)
Density functional theory data (SCAN) for a crystal of Zr6Fe7Si16 relaxed with PBEsol.

raw formation energy = -0.514 eV per atom

CIF file:
```
data_Zr6Fe7Si16
_chemical_formula_sum 'Zr24 Fe28 Si64'
_symmetry_space_group_name_H-M 'F m -3 m'
_symmetry_Int_Tables_number 225
_symmetry_space_group_name_Hall '-F 4 2 3'
_cell_length_a 11.484
_cell_length_b 11.484
_cell_length_c 11.484
_cell_angle_alpha 90.00
_cell_angle_beta 90.00
_cell_angle_gamma 90.00
loop_
_atom_site_label
_atom_site_fract_x
_atom_site_fract_y
_atom_site_fract_z
Zr1 0.000 0.000 0.199
Fe1 0.000 0.000 0.500
Fe2 0.000 0.250 0.250
Si1 0.119 0.119 0.381
Si2 0.165 0.165 0.165
```